*one*
Material: V2SnP
Method: DFT, PBE-GGA
State: optimized geometry

The calculation puts the density of states at the Fermi level at 0.99 states/eV/atom.

The space group is I-42d (No. 122) and the conventional cell measures 6.971, 6.971 and 5.502 Å, with angles of 90.00, 90.00 and 90.00 degrees. The distinct sites, in fractional coordinates, are V at (0.187, 0.250, 0.125), Sn at (0.000, 0.000, 0.500) and P at (0.000, 0.000, 0.000).

*two*
Material: V2SnP
Method: DFT, PBE-GGA
State: optimized geometry

The calculation puts the density of states at the Fermi level at 0.83 states/eV/atom.

The space group is Fm-3m (No. 225) and the conventional cell measures 6.256, 6.256 and 6.256 Å, with angles of 90.00, 90.00 and 90.00 degrees. The distinct sites, in fractional coordinates, are V at (0.250, 0.250, 0.250), Sn at (0.000, 0.000, 0.000) and P at (0.000, 0.000, 0.500).

List of relative energies, unit eV/atom: *one* 0.000; *two* 0.086

*one*
Material: V3SnP
Method: DFT, PBE-GGA
State: optimized geometry

The calculation puts the density of states at the Fermi level at 1.72 states/eV/atom.

The space group is Pm-3m (No. 221) and the conventional cell measures 4.992, 4.992 and 4.992 Å, with angles of 90.00, 90.00 and 90.00 degrees. The distinct sites, in fractional coordinates, are V at (0.000, 0.000, 0.500), Sn at (0.000, 0.000, 0.000) and P at (0.500, 0.500, 0.500).

*two*
Material: V3SnP
Method: DFT, PBE-GGA
State: optimized geometry

The calculation puts the density of states at the Fermi level at 1.06 states/eV/atom.

The space group is Pm-3m (No. 221) and the conventional cell measures 4.387, 4.387 and 4.387 Å, with angles of 90.00, 90.00 and 90.00 degrees. The distinct sites, in fractional coordinates, are V at (0.000, 0.000, 0.500), Sn at (0.500, 0.500, 0.500) and P at (0.000, 0.000, 0.000).

List of relative energies, unit eV/atom: *one* 1.510; *two* 0.000

*one*
Material: SnP3W
Method: DFT, PBE-GGA
State: optimized geometry

The calculation puts the density of states at the Fermi level at 0.53 states/eV/atom.

The space group is Pm-3m (No. 221) and the conventional cell measures 4.756, 4.756 and 4.756 Å, with angles of 90.00, 90.00 and 90.00 degrees. The distinct sites, in fractional coordinates, are Sn at (0.000, 0.000, 0.000), P at (0.000, 0.500, 0.500) and W at (0.500, 0.500, 0.500).

*two*
Material: SnP3W
Method: DFT, PBE-GGA
State: optimized geometry

The calculation puts the density of states at the Fermi level at 2.11 states/eV/atom.

The space group is Pm-3m (No. 221) and the conventional cell measures 4.826, 4.826 and 4.826 Å, with angles of 90.00, 90.00 and 90.00 degrees. The distinct sites, in fractional coordinates, are Sn at (0.000, 0.000, 0.000), P at (0.000, 0.000, 0.500) and W at (0.500, 0.500, 0.500).

List of relative energies, unit eV/atom: *one* 0.000; *two* 1.622

*one*
Material: SnPW2
Method: DFT, PBE-GGA
State: optimized geometry

The calculation puts the density of states at the Fermi level at 2.64 states/eV/atom.

The space group is Fm-3m (No. 225) and the conventional cell measures 6.381, 6.381 and 6.381 Å, with angles of 90.00, 90.00 and 90.00 degrees. The distinct sites, in fractional coordinates, are Sn at (0.000, 0.000, 0.000), P at (0.000, 0.000, 0.500) and W at (0.250, 0.250, 0.250).

*two*
Material: SnPW2
Method: DFT, PBE-GGA
State: optimized geometry

The calculation puts the density of states at the Fermi level at 0.67 states/eV/atom.

The space group is I-42d (No. 122) and the conventional cell measures 4.079, 4.079 and 18.119 Å, with angles of 90.00, 90.00 and 90.00 degrees. The distinct sites, in fractional coordinates, are Sn at (0.000, 0.000, 0.000), P at (0.000, 0.000, 0.500) and W at (0.189, 0.250, 0.625).

List of relative energies, unit eV/atom: *one* 0.000; *two* 0.105

*one*
Material: Y2SnP
Method: DFT, PBE-GGA
State: optimized geometry

The calculation puts the density of states at the Fermi level at 0.36 states/eV/atom.

The space group is R-3m (No. 166, hexagonal axes) and the conventional cell measures 3.9456, 3.9456 and 23.1575 Å, with angles of 90.00, 90.00 and 120.00 degrees. The distinct sites, in fractional coordinates, are Y at (0.0000, 0.0000, 0.2355), Sn at (0.0000, 0.0000, 0.0000) and P at (0.0000, 0.0000, 0.5000).

*two*
Material: Y2SnP
Method: DFT, PBE-GGA
State: optimized geometry

The calculation puts the density of states at the Fermi level at 0.49 states/eV/atom.

The space group is I-42d (No. 122) and the conventional cell measures 7.799, 7.799 and 6.971 Å, with angles of 90.00, 90.00 and 90.00 degrees. The distinct sites, in fractional coordinates, are Y at (0.214, 0.250, 0.125), Sn at (0.000, 0.000, 0.500) and P at (0.000, 0.000, 0.000).

*three*
Material: Y2SnP
Method: DFT, PBE-GGA
State: optimized geometry

The calculation puts the density of states at the Fermi level at 0.92 states/eV/atom.

The space group is Fm-3m (No. 225) and the conventional cell measures 7.314, 7.314 and 7.314 Å, with angles of 90.00, 90.00 and 90.00 degrees. The distinct sites, in fractional coordinates, are Y at (0.250, 0.250, 0.250), Sn at (0.000, 0.000, 0.000) and P at (0.000, 0.000, 0.500).

List of relative energies, unit eV/atom: *one* 0.000; *two* 0.363; *three* 0.504

*one*
Material: YSnP2
Method: DFT, PBE-GGA
State: optimized geometry

The calculation puts the density of states at the Fermi level at 1.31 states/eV/atom.

The space group is I-42d (No. 122) and the conventional cell measures 6.238, 6.238 and 12.332 Å, with angles of 90.00, 90.00 and 90.00 degrees. The distinct sites, in fractional coordinates, are Y at (0.000, 0.000, 0.000), Sn at (0.000, 0.000, 0.500) and P at (0.239, 0.250, 0.625).

*two*
Material: YSnP2
Method: DFT, PBE-GGA
State: optimized geometry

The calculation puts the density of states at the Fermi level at 0.52 states/eV/atom.

The space group is Fm-3m (No. 225) and the conventional cell measures 6.976, 6.976 and 6.976 Å, with angles of 90.00, 90.00 and 90.00 degrees. The distinct sites, in fractional coordinates, are Y at (0.000, 0.000, 0.000), Sn at (0.000, 0.000, 0.500) and P at (0.250, 0.250, 0.250).

List of relative energies, unit eV/atom: *one* 0.000; *two* 0.084

*one*
Material: Y2SnP2
Method: DFT, PBE-GGA
State: optimized geometry

The calculation puts the density of states at the Fermi level at 0.38 states/eV/atom.

The space group is I4/mmm (No. 139) and the conventional cell measures 3.694, 3.694 and 16.560 Å, with angles of 90.00, 90.00 and 90.00 degrees. The distinct sites, in fractional coordinates, are Y at (0.000, 0.000, 0.120), Sn at (0.000, 0.000, 0.500) and P at (0.000, 0.500, 0.250).

*two*
Material: Y2SnP2
Method: DFT, PBE-GGA
State: optimized geometry

The calculation puts the density of states at the Fermi level at 0.56 states/eV/atom.

The space group is P4/mbm (No. 127) and the conventional cell measures 7.681, 7.681 and 3.774 Å, with angles of 90.00, 90.00 and 90.00 degrees. The distinct sites, in fractional coordinates, are Y at (0.157, 0.343, 0.000), Sn at (0.000, 0.000, 0.500) and P at (0.148, 0.648, 0.500).

List of relative energies, unit eV/atom: *one* 0.135; *two* 0.000

*one*
Material: YSnP3
Method: DFT, PBE-GGA
State: optimized geometry

The calculation puts the density of states at the Fermi level at 1.09 states/eV/atom.

The space group is Pm-3m (No. 221) and the conventional cell measures 5.229, 5.229 and 5.229 Å, with angles of 90.00, 90.00 and 90.00 degrees. The distinct sites, in fractional coordinates, are Y at (0.000, 0.000, 0.000), Sn at (0.500, 0.500, 0.500) and P at (0.000, 0.000, 0.500).

*two*
Material: YSnP3
Method: DFT, PBE-GGA
State: optimized geometry

The calculation puts the density of states at the Fermi level at 0.85 states/eV/atom.

The space group is Pm-3m (No. 221) and the conventional cell measures 4.973, 4.973 and 4.973 Å, with angles of 90.00, 90.00 and 90.00 degrees. The distinct sites, in fractional coordinates, are Y at (0.000, 0.000, 0.000), Sn at (0.500, 0.500, 0.500) and P at (0.000, 0.500, 0.500).

List of relative energies, unit eV/atom: *one* 0.118; *two* 0.000

*one*
Material: Zn3SnP
Method: DFT, PBE-GGA
State: optimized geometry

The calculation puts the density of states at the Fermi level at 0.62 states/eV/atom.

The space group is Pm-3m (No. 221) and the conventional cell measures 5.123, 5.123 and 5.123 Å, with angles of 90.00, 90.00 and 90.00 degrees. The distinct sites, in fractional coordinates, are Zn at (0.000, 0.000, 0.500), Sn at (0.000, 0.000, 0.000) and P at (0.500, 0.500, 0.500).

*two*
Material: Zn3SnP
Method: DFT, PBE-GGA
State: optimized geometry

The calculation puts the density of states at the Fermi level at 0.88 states/eV/atom.

The space group is Pm-3m (No. 221) and the conventional cell measures 4.741, 4.741 and 4.741 Å, with angles of 90.00, 90.00 and 90.00 degrees. The distinct sites, in fractional coordinates, are Zn at (0.000, 0.000, 0.500), Sn at (0.500, 0.500, 0.500) and P at (0.000, 0.000, 0.000).

List of relative energies, unit eV/atom: *one* 0.532; *two* 0.000

*one*
Material: ZnSnP2
Method: DFT, PBE-GGA
State: optimized geometry

The calculation puts the density of states at the Fermi level at 0.42 states/eV/atom.

The space group is R-3m (No. 166, hexagonal axes) and the conventional cell measures 4.0281, 4.0281 and 21.5322 Å, with angles of 90.00, 90.00 and 120.00 degrees. The distinct sites, in fractional coordinates, are Zn at (0.0000, 0.0000, 0.0000), Sn at (0.0000, 0.0000, 0.5000) and P at (0.0000, 0.0000, 0.1039).

*two*
Material: ZnSnP2
Method: DFT, PBE-GGA
State: optimized geometry

The calculation puts the density of states at the Fermi level at 0.52 states/eV/atom.

The space group is Fm-3m (No. 225) and the conventional cell measures 6.648, 6.648 and 6.648 Å, with angles of 90.00, 90.00 and 90.00 degrees. The distinct sites, in fractional coordinates, are Zn at (0.000, 0.000, 0.000), Sn at (0.000, 0.000, 0.500) and P at (0.250, 0.250, 0.250).

List of relative energies, unit eV/atom: *one* 0.000; *two* 0.242

*one*
Material: Sr3P2
Method: DFT, PBE-GGA
State: optimized geometry

The space group is P-3m1 (No. 164) and the conventional cell measures 5.0037, 5.0037 and 7.3409 Å, with angles of 90.00, 90.00 and 120.00 degrees. The distinct sites, in fractional coordinates, are Sr at (0.0000, 0.0000, 0.0000), Sr at (0.3333, 0.6667, 0.6651) and P at (0.3333, 0.6667, 0.2275).

*two*
Material: Sr3P2
Method: DFT, PBE-GGA
State: optimized geometry

The calculation puts the density of states at the Fermi level at 0.03 states/eV/atom.

The space group is I-42d (No. 122) and the conventional cell measures 9.379, 9.379 and 27.978 Å, with angles of 90.00, 90.00 and 90.00 degrees. The distinct sites, in fractional coordinates, are Sr at (0.058, 0.192, 0.064), Sr at (0.067, 0.193, 0.390), Sr at (0.081, 0.165, 0.731), P at (0.000, 0.000, 0.163), P at (0.121, 0.250, 0.625) and P at (0.149, 0.238, 0.287).

*three*
Material: Sr3P2
Method: DFT, PBE-GGA
State: optimized geometry

The calculation puts the density of states at the Fermi level at 0.58 states/eV/atom.

The space group is R-3m (No. 166, hexagonal axes) and the conventional cell measures 4.6590, 4.6590 and 29.1357 Å, with angles of 90.00, 90.00 and 120.00 degrees. The distinct sites, in fractional coordinates, are Sr at (0.0000, 0.0000, 0.0000), Sr at (0.0000, 0.0000, 0.2311) and P at (0.0000, 0.0000, 0.3965).

List of relative energies, unit eV/atom: *one* 0.010; *two* 0.000; *three* 0.147